Below is an optimized crystal structure of CsTl2PtCl8, with properties calculated at the GGA-PBE level.

Cell: 6.8951 6.8951 9.2872 Å, 90.00 90.00 120.00°
Fractional positions:
Cs1 0.0000 0.0000 0.0000
Tl1 0.3333 0.6667 0.3422
Tl2 0.6667 0.3333 0.6578
Pt1 0.0000 0.0000 0.5000
Cl1 0.1594 0.3188 0.6471
Cl2 0.1594 0.8406 0.6471
Cl3 0.3188 0.1594 0.3529
Cl4 0.3333 0.6667 0.0531
Cl5 0.6667 0.3333 0.9469
Cl6 0.6812 0.8406 0.6471
Cl7 0.8406 0.1594 0.3529
Cl8 0.8406 0.6812 0.3529

Calculated values
D(E_F), states/eV/f.u.: 7.07
Crystal system: trigonal
Calculated density, g cm⁻³: 4.43



Below is an optimized crystal structure of CsTl2PtCl6, with properties calculated at the GGA-PBE level.

Cell: 17.1996 17.1996 17.1996 Å, 24.16 24.16 24.16°
Fractional positions:
Cs1 0.0842 0.0842 0.0842
Cs2 0.9158 0.9158 0.9158
Tl1 0.1838 0.1838 0.1838
Tl2 0.3507 0.3507 0.3507
Tl3 0.6493 0.6493 0.6493
Tl4 0.8162 0.8162 0.8162
Pt1 0.0000 0.0000 0.0000
Pt2 0.5000 0.5000 0.5000
Cl1 0.1330 0.1330 0.6504
Cl2 0.1330 0.6504 0.1330
Cl3 0.2079 0.6879 0.6879
Cl4 0.3121 0.3121 0.7921
Cl5 0.3121 0.7921 0.3121
Cl6 0.3496 0.8670 0.8670
Cl7 0.6504 0.1330 0.1330
Cl8 0.6879 0.2079 0.6879
Cl9 0.6879 0.6879 0.2079
Cl10 0.7921 0.3121 0.3121
Cl11 0.8670 0.3496 0.8670
Cl12 0.8670 0.8670 0.3496

Calculated values
D(E_F), states/eV/f.u.: 3.65
Crystal system: trigonal
Calculated density, g cm⁻³: 4.21



Electronic total energy across the listed records, respectively: -3.06 -3.21 eV/atom.